Below is DyIn2IrO8 after structural relaxation, with properties calculated at the PBE level.

Unit cell a=4.9506 b=4.9373 c=6.6301 alpha=90.00 beta=90.00 gamma=91.03
Closest atoms and distances in Å follow each position.
Fractional positions:
O (0.2843, 0.2814, 0.0000)  1 Ir 1.96
O (0.6879, 0.6911, 0.5000)  2 In 2.12, 1 Dy 2.15
O (0.1843, 0.8125, 0.7878)  1 Ir 1.92
O (0.8157, 0.1875, 0.2122)  1 Ir 1.92
O (0.8157, 0.1874, 0.7878)  1 Ir 1.92
O (0.7157, 0.7186, 0.0000)  1 Ir 1.96
O (0.1843, 0.8126, 0.2122)  1 Ir 1.92
O (0.3121, 0.3089, 0.5000)  2 In 2.12, 1 Dy 2.15
In (0.5000, 0.5000, 0.2488)  6 O 2.12-2.23
In (0.5000, 0.5000, 0.7512)  6 O 2.12-2.23
Dy (0.0000, 0.0000, 0.5000)  6 O 2.15-2.32
Ir (0.0000, 0.0000, 0.0000)  6 O 1.92-1.96

Calculated values
As for the total energy: -6.3766 eV per atom. Its uncorrected formation energy is -1.493 eV/atom. The calculation puts the mass density at 7300 kg/m3.

---

Below is ZnFe2Sb after structural relaxation, with properties calculated at the PBE level.

Unit cell a=8.1008 b=8.1008 c=8.1008 alpha=21.40 beta=21.40 gamma=21.40
Closest atoms and distances in Å follow each position.
Fractional positions:
Fe (0.4979, 0.4979, 0.4979)  3 Zn 2.59, 3 Sb 2.67
Fe (0.0021, 0.0021, 0.0021)  3 Zn 2.59, 3 Sb 2.67
Sb (0.2500, 0.2500, 0.2500)  6 Fe 2.67
Zn (0.7500, 0.7500, 0.7500)  6 Fe 2.59

Calculated values
For the energy above the most stable polymorph in this dataset, the calculation gives 249 meV per atom. As for the total energy: -5.1732 eV per atom. Its uncorrected formation energy is 0.407 eV/atom. The calculation puts the mass density at 8004 kg/m3.

---

Below is Mn2C after structural relaxation, with properties calculated at the PBE level.

Unit cell a=5.1478 b=5.1478 c=4.2025 alpha=90.00 beta=90.00 gamma=149.73
Closest atoms and distances in Å follow each position.
Fractional positions:
Mn (0.2135, 0.7865, 0.7500)  2 C 1.89
Mn (0.0628, 0.9372, 0.2500)  2 C 1.95
Mn (0.7865, 0.2135, 0.2500)  2 C 1.89
Mn (0.9372, 0.0628, 0.7500)  2 C 1.95
C (0.4203, 0.5797, 0.2500)  4 Mn 1.89-1.95
C (0.5797, 0.4203, 0.7500)  4 Mn 1.89-1.95

Calculated values
As for the total energy: -8.8411 eV per atom. The calculation puts the mass density at 7212 kg/m3.

---

Below is CaCuPd2 after structural relaxation, with properties calculated at the PBE level.

Unit cell a=3.3161 b=3.3161 c=6.3578 alpha=90.00 beta=90.00 gamma=90.00
Closest atoms and distances in Å follow each position.
Fractional positions:
Cu (0.5000, 0.5000, 0.0000)  8 Pd 2.71
Ca (0.5000, 0.5000, 0.5000)  8 Pd 2.97, 2 Cu 3.18, 4 Ca 3.32
Pd (0.0000, 0.0000, 0.7870)  4 Cu 2.71, 1 Pd 2.71, 4 Ca 2.97
Pd (0.0000, 0.0000, 0.2130)  4 Cu 2.71, 1 Pd 2.71, 4 Ca 2.97

Calculated values
For the energy above the most stable polymorph in this dataset, the calculation gives 75 meV per atom. As for the total energy: -4.4644 eV per atom. The calculation puts the mass density at 7516 kg/m3.

---

Below is BeSiW after structural relaxation, with properties calculated at the PBE level.

Unit cell a=4.5540 b=4.5540 c=4.9674 alpha=90.26 beta=122.46 gamma=114.18
Closest atoms and distances in Å follow each position.
Fractional positions:
Si (0.5000, 0.5000, 0.5000)  2 Be 2.28, 2 Si 2.47
Si (0.0000, 0.0000, 0.5000)  2 Be 2.28, 2 Si 2.47
W (0.2358, 0.6176, 0.8534)  3 Be 2.35-2.53, 2 Si 2.61
W (0.7642, 0.3824, 0.1466)  3 Be 2.35-2.53, 2 Si 2.61
Be (0.7374, 0.0357, 0.7731)  2 Si 2.28, 2 Be 2.29-2.40, 3 W 2.35-2.53
Be (0.2626, 0.9643, 0.2269)  2 Si 2.28, 2 Be 2.29-2.40, 3 W 2.35-2.53

Calculated values
For the energy above the most stable polymorph in this dataset, the calculation gives 254 meV per atom. As for the total energy: -7.0717 eV per atom. Its uncorrected formation energy is 0.296 eV/atom. The calculation puts the mass density at 9674 kg/m3.

---

Below is CaLa2N after structural relaxation, with properties calculated at the PBE level.

Unit cell a=3.7422 b=3.7425 c=9.8687 alpha=90.06 beta=90.00 gamma=120.00
Closest atoms and distances in Å follow each position.
Fractional positions:
N (0.0000, 0.0000, 0.5000)  6 La 2.57
La (0.3330, 0.6660, 0.3587)  3 N 2.57
La (0.6670, 0.3340, 0.6413)  3 N 2.57
Ca (0.0000, 0.0000, 0.0000)  6 Ca 3.74, 6 La 4.14-4.15

Calculated values
As for the total energy: -5.6970 eV per atom. Its uncorrected formation energy is -0.652 eV/atom. The calculation puts the mass density at 4604 kg/m3.

---

Below is Ga3HgB4O12 after structural relaxation, with properties calculated at the PBE level.

Unit cell a=6.0836 b=6.0836 c=6.0836 alpha=103.88 beta=103.88 gamma=103.88
Closest atoms and distances in Å follow each position.
Fractional positions:
O (0.9694, 0.2137, 0.3754)  1 B 1.38
O (0.0921, 0.9079, 0.5000)  1 B 1.38
O (0.9079, 0.5000, 0.0921)  1 B 1.38
O (0.3754, 0.9694, 0.2137)  1 B 1.38
O (0.0306, 0.6246, 0.7863)  1 B 1.38
O (0.7863, 0.0306, 0.6246)  1 B 1.38
O (0.6445, 0.5000, 0.3555)  1 B 1.38
O (0.5000, 0.0921, 0.9079)  1 B 1.38
O (0.2137, 0.3754, 0.9694)  1 B 1.38
O (0.5000, 0.3555, 0.6445)  1 B 1.38
O (0.3555, 0.6445, 0.5000)  1 B 1.38
O (0.6246, 0.7863, 0.0306)  1 B 1.38
B (0.5000, 0.9477, 0.0523)  3 O 1.38
B (0.9477, 0.0523, 0.5000)  3 O 1.38
B (0.5000, 0.5000, 0.5000)  3 O 1.38
B (0.0523, 0.5000, 0.9477)  3 O 1.38
Ga (0.0000, 0.5529, 0.4471)  6 O 1.96-2.02
Ga (0.5529, 0.4471, 0.0000)  6 O 1.96-2.02
Ga (0.4471, 0.0000, 0.5529)  6 O 1.96-2.02
Hg (0.0000, 0.0000, 0.0000)  6 O 2.42

Calculated values
As for the total energy: -6.6464 eV per atom. Its uncorrected formation energy is -1.867 eV/atom. The calculation puts the mass density at 5319 kg/m3.

---

Below is Sn4BiPb8 after structural relaxation, with properties calculated at the PBE level.

Unit cell a=5.9599 b=3.4537 c=20.5751 alpha=90.00 beta=75.83 gamma=90.00
Closest atoms and distances in Å follow each position.
Fractional positions:
Pb (0.3934, 0.5000, 0.7300)  8 Pb 3.40-3.62, 2 Sn 3.51-3.55
Pb (0.1126, 0.0000, 0.4932)  4 Sn 3.32-3.37, 1 Bi 3.34, 4 Pb 3.44-3.51
Pb (0.8443, 0.0000, 0.7767)  3 Sn 3.30-3.31, 8 Pb 3.45-3.62
Pb (0.0739, 0.5000, 0.1944)  2 Sn 3.42, 7 Pb 3.45-3.53, 2 Bi 3.50
Pb (0.5598, 0.5000, 0.0576)  6 Sn 3.37-3.52, 4 Pb 3.45-3.51
Pb (0.5498, 0.0000, 0.2280)  2 Sn 3.32, 6 Pb 3.45-3.53
Pb (0.0014, 0.5000, 0.9108)  6 Sn 3.37-3.54, 5 Pb 3.45-3.57
Pb (0.5300, 0.0000, 0.5831)  6 Pb 3.40-3.51, 4 Sn 3.56-3.64
Sn (0.4716, 0.5000, 0.3695)  4 Pb 3.32-3.37, 4 Bi 3.34-3.61, 2 Sn 3.45
Sn (0.0491, 0.0000, 0.0529)  3 Sn 3.17-3.45, 8 Pb 3.37-3.52
Sn (0.9778, 0.5000, 0.6350)  10 Pb 3.31-3.64, 2 Sn 3.45
Sn (0.4725, 0.0000, 0.9248)  3 Sn 3.17-3.45, 7 Pb 3.30-3.54
Bi (0.9639, 0.0000, 0.3469)  4 Sn 3.34-3.61, 3 Pb 3.34-3.50, 2 Bi 3.45

Calculated values
As for the total energy: -3.7561 eV per atom. The calculation puts the mass density at 9468 kg/m3.

---

Below is Al3Pt after structural relaxation, with properties calculated at the PBE level.

Unit cell a=2.8456 b=2.8456 c=7.7698 alpha=90.00 beta=90.00 gamma=90.00
Closest atoms and distances in Å follow each position.
Fractional positions:
Al (0.0000, 0.0000, 0.4790)  4 Pt 2.69, 8 Al 2.85-2.91
Al (0.5000, 0.5000, 0.7500)  12 Al 2.85-2.91
Al (0.0000, 0.0000, 0.0210)  4 Pt 2.69, 8 Al 2.85-2.91
Pt (0.5000, 0.5000, 0.2500)  8 Al 2.69, 4 Pt 2.85

Calculated values
As for the total energy: -4.7816 eV per atom. The calculation puts the mass density at 7285 kg/m3.

---

Below is RbTi2Hg2 after structural relaxation, with properties calculated at the PBE level.

Unit cell a=5.2990 b=5.2990 c=6.2834 alpha=65.06 beta=65.06 gamma=90.00
Closest atoms and distances in Å follow each position.
Fractional positions:
Hg (0.2500, 0.7500, 0.5000)  4 Ti 2.89
Hg (0.7500, 0.2500, 0.5000)  4 Ti 2.89
Rb (0.0000, 0.0000, 0.0000)  8 Hg 3.66, 10 Ti 3.69-3.99
Ti (0.3655, 0.3655, 0.2690)  1 Ti 2.71, 4 Hg 2.89
Ti (0.6345, 0.6345, 0.7310)  1 Ti 2.71, 4 Hg 2.89

Calculated values
For the energy above the most stable polymorph in this dataset, the calculation gives 290 meV per atom. As for the total energy: -2.9261 eV per atom. The calculation puts the mass density at 6828 kg/m3.

---

Q: Number 2 is which compound?
A: ZnFe2Sb